(1)
Li2HIrAu | PBE-GGA | relaxed

a = 4.0380 Å, b = 4.0380 Å, c = 3.5704 Å
α = 90.00°, β = 90.00°, γ = 90.00°
Last column: nearest neighbours and their distance in Å.
Sites, in units of the cell vectors:
H: 0.0000 0.0000 0.0000  2 Ir 1.79
Ir: 0.0000 0.0000 0.5000  2 H 1.79
Au: 0.5000 0.5000 0.5000  8 Li 2.70, 4 Ir 2.86
Li: 0.0000 0.5000 0.0000  2 H 2.02
Li: 0.5000 0.0000 0.0000  2 H 2.02

## Properties
- total DFT energy (no corrections) (eV for the cell shown) = -20.8
- V (Å³/f.u.) = 58

=====

(2)
LiHIr2Au | PBE-GGA | relaxed

a = 3.8744 Å, b = 3.8744 Å, c = 4.0714 Å
α = 90.00°, β = 90.00°, γ = 90.00°
Last column: nearest neighbours and their distance in Å.
Sites, in units of the cell vectors:
H: 0.0000 0.0000 0.0000  4 Ir 1.94, 2 Li 2.04
Ir: 0.0000 0.5000 0.0000  2 H 1.94
Ir: 0.5000 0.0000 0.0000  2 H 1.94
Au: 0.5000 0.5000 0.5000  4 Li 2.74, 8 Ir 2.81
Li: 0.0000 0.0000 0.5000  2 H 2.04

## Properties
- total DFT energy (no corrections) (eV for the cell shown) = -26.1
- V (Å³/f.u.) = 61

=====

(3)
Mg2HIrAu | PBE-GGA | relaxed

a = 4.4363 Å, b = 4.4363 Å, c = 3.5156 Å
α = 90.00°, β = 90.00°, γ = 90.00°
Last column: nearest neighbours and their distance in Å.
Sites, in units of the cell vectors:
H: 0.0000 0.0000 0.0000  2 Ir 1.76
Mg: 0.0000 0.5000 0.0000  2 H 2.22
Mg: 0.5000 0.0000 0.0000  2 H 2.22
Ir: 0.0000 0.0000 0.5000  2 H 1.76
Au: 0.5000 0.5000 0.5000  8 Mg 2.83, 4 Ir 3.14

## Properties
- total DFT energy (no corrections) (eV for the cell shown) = -20.6
- V (Å³/f.u.) = 69

=====

(4)
MgHIr2Au | PBE-GGA | relaxed

a = 3.9454 Å, b = 3.9454 Å, c = 4.1739 Å
α = 90.00°, β = 90.00°, γ = 90.00°
Last column: nearest neighbours and their distance in Å.
Sites, in units of the cell vectors:
H: 0.0000 0.0000 0.0000  4 Ir 1.97, 2 Mg 2.09
Mg: 0.0000 0.0000 0.5000  2 H 2.09
Ir: 0.0000 0.5000 0.0000  2 H 1.97
Ir: 0.5000 0.0000 0.0000  2 H 1.97
Au: 0.5000 0.5000 0.5000  4 Mg 2.79, 8 Ir 2.87

## Properties
- total DFT energy (no corrections) (eV for the cell shown) = -26.2
- V (Å³/f.u.) = 65

=====

(5)
Mn2HIrAu | PBE-GGA | relaxed

a = 4.0768 Å, b = 4.0768 Å, c = 3.8001 Å
α = 90.00°, β = 90.00°, γ = 90.00°
Last column: nearest neighbours and their distance in Å.
Sites, in units of the cell vectors:
H: 0.0000 0.0000 0.0000  2 Au 1.90, 4 Mn 2.04
Ir: 0.5000 0.5000 0.5000  8 Mn 2.79, 4 Au 2.88
Au: 0.0000 0.0000 0.5000  2 H 1.90
Mn: 0.0000 0.5000 0.0000  2 H 2.04
Mn: 0.5000 0.0000 0.0000  2 H 2.04

## Properties
- total DFT energy (no corrections) (eV for the cell shown) = -32.9
- V (Å³/f.u.) = 63

=====

(6)
Mn2HIrAu | PBE-GGA | relaxed

a = 4.1600 Å, b = 4.1600 Å, c = 3.6964 Å
α = 90.00°, β = 90.00°, γ = 90.00°
Last column: nearest neighbours and their distance in Å.
Sites, in units of the cell vectors:
H: 0.0000 0.0000 0.0000  2 Ir 1.85
Ir: 0.0000 0.0000 0.5000  2 H 1.85
Au: 0.5000 0.5000 0.5000  8 Mn 2.78, 4 Ir 2.94
Mn: 0.0000 0.5000 0.0000  2 H 2.08
Mn: 0.5000 0.0000 0.0000  2 H 2.08

## Properties
- total DFT energy (no corrections) (eV for the cell shown) = -33.8
- V (Å³/f.u.) = 64